Entry 1:
A plane-wave DFT calculation with PBE was carried out for a relaxed PaFe2MoP2 crystal.

Summary:
Space-group type: P-3m1 (164)
Uncorrected energy: -8.57 eV per atom
Density of states at the Fermi level: 4.1 states/eV/cell

a b c (Å): 3.7396 3.7396 7.2130
angles (deg): 90.00 90.00 120.00
With the nearest neighbours (Å) after each atom.
Atoms (fractional coordinates):
P 0.3333 0.6667 0.2918  3 Fe 2.19
P 0.6667 0.3333 0.7082  3 Fe 2.19
Fe 0.3333 0.6667 0.7588  3 P 2.19
Fe 0.6667 0.3333 0.2412  3 P 2.19
Pa 0.0000 0.0000 0.0000  6 Fe 2.77, 6 P 3.02
Mo 0.0000 0.0000 0.5000  6 P 2.63, 6 Fe 2.85

=====

Entry 2:
A plane-wave DFT calculation with PBE was carried out for a relaxed PmFeMoP2 crystal.

Summary:
Space-group type: I-4m2 (119)
Uncorrected energy: -7.74 eV per atom
Density of states at the Fermi level: 4.4 states/eV/cell

a b c (Å): 4.0074 4.0074 5.8983
angles (deg): 109.86 109.86 90.00
With the nearest neighbours (Å) after each atom.
Atoms (fractional coordinates):
P 0.3677 0.3677 0.7353  2 Fe 2.34, 2 Mo 2.34
P 0.6323 0.6323 0.2647  2 Mo 2.34, 2 Fe 2.34
Pm 0.0000 0.0000 0.0000  8 P 3.15, 4 Mo 3.27, 4 Fe 3.27
Mo 0.2500 0.7500 0.5000  4 P 2.34
Fe 0.7500 0.2500 0.5000  4 P 2.34

=====

Entry 3:
A plane-wave DFT calculation with PBE was carried out for a relaxed PrFeMoP2 crystal.

Summary:
Space-group type: I-4m2 (119)
Uncorrected energy: -7.74 eV per atom
Density of states at the Fermi level: 4.2 states/eV/cell

a b c (Å): 3.9247 3.9247 6.3242
angles (deg): 108.08 108.08 90.00
With the nearest neighbours (Å) after each atom.
Atoms (fractional coordinates):
Mo 0.2500 0.7500 0.5000  4 P 2.36
P 0.3650 0.3650 0.7299  2 Fe 2.36, 2 Mo 2.36
P 0.6350 0.6350 0.2701  2 Mo 2.36, 2 Fe 2.36
Fe 0.7500 0.2500 0.5000  4 P 2.36
Pr 0.0000 0.0000 0.0000  8 P 3.17, 4 Mo 3.45, 4 Fe 3.45

=====

Entry 4:
A plane-wave DFT calculation with PBE was carried out for a relaxed FeMoPS2 crystal.

Summary:
Distance to the lowest polymorph of the same formula: 2.62 kcal/mol of atoms
Space-group type: P4/mmm (123)
Uncorrected energy: -5.82 eV per atom
Density of states at the Fermi level: 5.9 states/eV/cell
Energy relative to the elements, uncorrected: 773.5 meV/atom

a b c (Å): 4.3035 4.3035 4.2718
angles (deg): 90.00 90.00 90.00
With the nearest neighbours (Å) after each atom.
Atoms (fractional coordinates):
S 0.5000 0.0000 0.0000  2 Fe 2.15
S 0.0000 0.5000 0.0000  2 Fe 2.15
Fe 0.0000 0.0000 0.0000  2 P 2.14, 4 S 2.15
P 0.0000 0.0000 0.5000  2 Fe 2.14
Mo 0.5000 0.5000 0.5000  8 S 3.03, 4 P 3.04

=====

Entry 5:
A plane-wave DFT calculation with PBE was carried out for a relaxed FeMoPS2 crystal.

Summary:
Distance to the lowest polymorph of the same formula: 0.00 kcal/mol of atoms
Space-group type: P4/mmm (123)
Uncorrected energy: -5.93 eV per atom
Density of states at the Fermi level: 4.6 states/eV/cell
Energy relative to the elements, uncorrected: 660.0 meV/atom

a b c (Å): 4.6063 4.6063 4.8438
angles (deg): 90.00 90.00 90.00
With the nearest neighbours (Å) after each atom.
Atoms (fractional coordinates):
P 0.0000 0.0000 0.5000  2 Mo 2.42
Mo 0.0000 0.0000 0.0000  4 S 2.30, 2 P 2.42
S 0.5000 0.0000 0.0000  2 Mo 2.30
S 0.0000 0.5000 0.0000  2 Mo 2.30
Fe 0.5000 0.5000 0.5000  4 P 3.26, 8 S 3.34

=====

Entry 6:
A plane-wave DFT calculation with PBE was carried out for a relaxed SrFeMoP2 crystal.

Summary:
Space-group type: I-4m2 (119)
Uncorrected energy: -7.04 eV per atom
Density of states at the Fermi level: 3.4 states/eV/cell

a b c (Å): 3.9021 3.9021 6.7298
angles (deg): 106.85 106.85 90.00
With the nearest neighbours (Å) after each atom.
Atoms (fractional coordinates):
Mo 0.2500 0.7500 0.5000  4 P 2.37
Fe 0.7500 0.2500 0.5000  4 P 2.37
P 0.3600 0.3600 0.7200  2 Fe 2.37, 2 Mo 2.37
P 0.6400 0.6400 0.2800  2 Mo 2.37, 2 Fe 2.37
Sr 0.0000 0.0000 0.0000  8 P 3.25, 4 Mo 3.64, 4 Fe 3.64

=====

Entry 7:
A plane-wave DFT calculation with PBE was carried out for a relaxed ThFeMoP2 crystal.

Summary:
Space-group type: I-4m2 (119)
Uncorrected energy: -8.28 eV per atom
Density of states at the Fermi level: 5.4 states/eV/cell

a b c (Å): 4.0733 4.0733 5.7817
angles (deg): 110.63 110.63 90.00
With the nearest neighbours (Å) after each atom.
Atoms (fractional coordinates):
Mo 0.2500 0.7500 0.5000  4 P 2.34
Th 0.0000 0.0000 0.0000  8 P 3.18, 4 Mo 3.23, 4 Fe 3.23
P 0.6351 0.6351 0.2703  2 Fe 2.34, 2 Mo 2.34
P 0.3649 0.3649 0.7297  2 Fe 2.34, 2 Mo 2.34
Fe 0.7500 0.2500 0.5000  4 P 2.34

=====

Entry 8:
A plane-wave DFT calculation with PBE was carried out for a relaxed UFe2MoP2 crystal.

Summary:
Space-group type: P-3m1 (164)
Uncorrected energy: -8.79 eV per atom
Density of states at the Fermi level: 5.6 states/eV/cell

a b c (Å): 3.7253 3.7253 7.1034
angles (deg): 90.00 90.00 120.00
With the nearest neighbours (Å) after each atom.
Atoms (fractional coordinates):
P 0.3333 0.6667 0.2882  3 Fe 2.19
P 0.6667 0.3333 0.7118  3 Fe 2.19
Mo 0.0000 0.0000 0.5000  6 P 2.62, 6 Fe 2.87
Fe 0.3333 0.6667 0.7676  3 P 2.19
Fe 0.6667 0.3333 0.2324  3 P 2.19
U 0.0000 0.0000 0.0000  6 Fe 2.71, 6 P 2.97

=====

Entry 9:
A plane-wave DFT calculation with PBE was carried out for a relaxed Pa2Fe9Mo crystal.

Summary:
Space-group type: R-3m (166)
Uncorrected energy: -8.80 eV per atom
Density of states at the Fermi level: 14.7 states/eV/cell

a b c (Å): 4.7560 4.7560 8.6766
angles (deg): 74.09 74.09 60.00
With the nearest neighbours (Å) after each atom.
Atoms (fractional coordinates):
Fe 0.6662 0.6662 0.0014  6 Fe 2.36-2.37
Fe 0.5786 0.0765 0.7662  7 Fe 2.36-2.59
Fe 0.5786 0.5786 0.7662  7 Fe 2.36-2.59
Fe 0.3338 0.3338 0.9986  6 Fe 2.36-2.37
Fe 0.5000 0.5000 0.5000  6 Fe 2.59, 6 Pa 2.82
Fe 0.0765 0.5786 0.7662  7 Fe 2.36-2.59
Fe 0.4214 0.4214 0.2338  7 Fe 2.36-2.59
Fe 0.4214 0.9235 0.2338  7 Fe 2.36-2.59
Fe 0.9235 0.4214 0.2338  7 Fe 2.36-2.59
Pa 0.1413 0.1413 0.5760  12 Fe 2.82-3.13, 3 Pa 3.02
Pa 0.8587 0.8587 0.4240  12 Fe 2.82-3.13, 3 Pa 3.02
Mo 0.0000 0.0000 0.0000  18 Fe 2.75-3.06

=====

Entry 10:
A plane-wave DFT calculation with PBE was carried out for a relaxed Pa2FeMo crystal.

Summary:
Distance to the lowest polymorph of the same formula: 0.00 kcal/mol of atoms
Space-group type: P4/mmm (123)
Uncorrected energy: -9.50 eV per atom
Density of states at the Fermi level: 4.2 states/eV/cell

a b c (Å): 3.4566 3.4566 6.4659
angles (deg): 90.00 90.00 90.00
With the nearest neighbours (Å) after each atom.
Atoms (fractional coordinates):
Pa 0.0000 0.0000 0.7740  4 Fe 2.85, 1 Pa 2.92, 4 Mo 3.02
Pa 0.0000 0.0000 0.2260  4 Fe 2.85, 1 Pa 2.92, 4 Mo 3.02
Mo 0.5000 0.5000 0.5000  8 Pa 3.02, 2 Fe 3.23
Fe 0.5000 0.5000 0.0000  8 Pa 2.85

=====

Entry 11:
A plane-wave DFT calculation with PBE was carried out for a relaxed PaFeMo crystal.

Summary:
Space-group type: P4_12_12 (92)
Uncorrected energy: -9.12 eV per atom
Density of states at the Fermi level: 15.9 states/eV/cell

a b c (Å): 5.7404 5.7404 7.3109
angles (deg): 90.00 90.00 90.00
With the nearest neighbours (Å) after each atom.
Atoms (fractional coordinates):
Fe 0.5247 0.4753 0.2500  3 Mo 2.37, 3 Pa 2.49-2.55
Fe 0.0247 0.0247 0.5000  3 Mo 2.37, 3 Pa 2.49-2.55
Fe 0.4753 0.5247 0.7500  3 Mo 2.37, 3 Pa 2.49-2.55
Fe 0.9753 0.9753 0.0000  3 Mo 2.37, 3 Pa 2.49-2.55
Pa 0.2181 0.7819 0.2500  3 Fe 2.49-2.55
Pa 0.7819 0.2181 0.7500  3 Fe 2.49-2.55
Pa 0.2819 0.2819 0.0000  3 Fe 2.49-2.55
Pa 0.7181 0.7181 0.5000  3 Fe 2.49-2.55
Mo 0.6834 0.6834 0.0000  3 Fe 2.37
Mo 0.1834 0.8166 0.7500  3 Fe 2.37
Mo 0.3166 0.3166 0.5000  3 Fe 2.37
Mo 0.8166 0.1834 0.2500  3 Fe 2.37

=====

Entry 12:
A plane-wave DFT calculation with PBE was carried out for a relaxed Pa2FeMo crystal.

Summary:
Distance to the lowest polymorph of the same formula: 9.19 kcal/mol of atoms
Space-group type: R-3m (166)
Uncorrected energy: -9.10 eV per atom
Density of states at the Fermi level: 7.1 states/eV/cell

a b c (Å): 3.1253 3.1253 9.5753
angles (deg): 80.61 80.61 60.00
With the nearest neighbours (Å) after each atom.
Atoms (fractional coordinates):
Pa 0.0842 0.0842 0.7475  1 Fe 2.37
Pa 0.9158 0.9158 0.2525  1 Fe 2.37
Mo 0.5000 0.5000 0.5000  6 Pa 2.94, 6 Mo 3.13
Fe 0.0000 0.0000 0.0000  2 Pa 2.37